Computed, not measured: an optimized crystal structure of Pr5S4Cl at the PBE-GGA level of DFT.

a b c (Å): 9.1996 9.1996 5.8078
angles (deg): 90.00 90.00 90.00
Space group I4/m (No. 87)
One atom of each set of equivalent atoms:
Pr  0.0000  0.0000  0.0000 (multiplicity 2)
Pr  0.1026  0.3156  0.5000 (multiplicity 8)
S  0.1062  0.2978  0.0000 (multiplicity 8)
Cl  0.0000  0.0000  0.5000 (multiplicity 2)

Values from the calculation:
raw formation energy	-1.89	eV per atom
E_tot	-122.4	eV/cell